Entry 1:
{
  "formula": "CoSb3N",
  "functional": "PBE",
  "state": "optimized geometry",
  "lattice": [[4.638, 0.000, 0.000], [0.000, 4.638, 0.000], [0.000, 0.000, 4.638]],
  "species": ["Co", "Sb", "Sb", "Sb", "N"],
  "fractional_positions": [[0.000, 0.000, 0.000], [0.000, 0.500, 0.500], [0.500, 0.000, 0.500], [0.500, 0.500, 0.000], [0.500, 0.500, 0.500]],
  "spacegroup": "No. 221",
  "formation_energy_uncorrected_ev_per_atom": 0.8526
}

Entry 2:
{
  "formula": "Pm5NdMg4",
  "functional": "PBE",
  "state": "optimized geometry",
  "lattice": [[3.814, 0.000, 0.000], [0.000, 3.814, 0.000], [0.000, 0.000, 20.730]],
  "species": ["Pm", "Pm", "Pm", "Pm", "Pm", "Nd", "Mg", "Mg", "Mg", "Mg"],
  "fractional_positions": [[0.000, 0.000, 0.000], [0.000, 0.000, 0.189], [0.000, 0.000, 0.379], [0.000, 0.000, 0.621], [0.000, 0.000, 0.811], [0.500, 0.500, 0.500], [0.500, 0.500, 0.095], [0.500, 0.500, 0.284], [0.500, 0.500, 0.716], [0.500, 0.500, 0.905]],
  "delta_e_f_kcal_per_mol_atoms": -1.8,
  "spacegroup": "No. 123"
}

Entry 3:
{
  "formula": "Li3U2Te6Pd",
  "functional": "PBE",
  "state": "optimized geometry",
  "lattice": [[3.637, -6.313, 0.000], [3.637, 6.313, 0.000], [-2.400, 0.000, 7.036]],
  "species": ["Li", "Li", "Li", "U", "U", "Te", "Te", "Te", "Te", "Te", "Te", "Pd"],
  "fractional_positions": [[0.000, 0.000, 0.000], [0.330, 0.670, 0.000], [0.670, 0.330, 0.000], [0.167, 0.833, 0.500], [0.833, 0.167, 0.500], [0.093, 0.415, 0.245], [0.265, 0.265, 0.749], [0.415, 0.093, 0.245], [0.585, 0.907, 0.755], [0.735, 0.735, 0.251], [0.907, 0.585, 0.755], [0.500, 0.500, 0.500]],
  "spacegroup": "No. 12",
  "formation_energy_uncorrected_ev_per_atom": -0.6652
}

Entry 4:
{
  "formula": "Na2SrCeCl8",
  "functional": "PBE",
  "state": "optimized geometry",
  "lattice": [[6.533, 0.000, 0.000], [0.000, 8.696, 0.000], [-0.263, 0.000, 6.617]],
  "species": ["Na", "Na", "Sr", "Ce", "Cl", "Cl", "Cl", "Cl", "Cl", "Cl", "Cl", "Cl"],
  "fractional_positions": [[0.000, 0.236, 0.000], [0.000, 0.764, 0.000], [0.500, 0.000, 0.500], [0.500, 0.500, 0.500], [0.212, 0.000, 0.177], [0.228, 0.500, 0.197], [0.294, 0.276, 0.674], [0.294, 0.724, 0.674], [0.706, 0.276, 0.326], [0.706, 0.724, 0.326], [0.772, 0.500, 0.803], [0.788, 0.000, 0.823]],
  "spacegroup": "No. 10",
  "formation_energy_uncorrected_ev_per_atom": -2.0070
}

Across the entries above, calculated volume takes the values 19.95, 30.16, 26.92, 31.33 Å³/atom, respectively.
Across the entries above, total energy takes the values -4.71, -3.57, -5.03, -4.09 eV per atom, respectively.